(1)
Density functional theory data (GGA-PBE) for a relaxed CrCuSi2 crystal.

Unit cell a=7.959 b=7.959 c=7.959 alpha=20.00 beta=20.00 gamma=20.00
Fractional positions:
Cr (0.000, 0.000, 0.000)
Cu (0.244, 0.244, 0.244)
Si (0.498, 0.498, 0.498)
Si (0.744, 0.744, 0.744)

- total moment (μB per atom) = 0.257
- crystal system = trigonal
- E_form (uncorrected) (eV/atom) = 0.2632

(2)
Density functional theory data (GGA-PBE) for a relaxed CsTmNiCl6 crystal.

Unit cell a=6.583 b=6.583 c=7.860 alpha=90.00 beta=90.00 gamma=120.00
Fractional positions:
Cs (0.000, 0.000, 0.000)
Tm (0.667, 0.333, 0.500)
Ni (0.333, 0.667, 0.500)
Cl (0.020, 0.383, 0.683)
Cl (0.020, 0.637, 0.317)
Cl (0.363, 0.383, 0.317)
Cl (0.363, 0.980, 0.683)
Cl (0.617, 0.637, 0.683)
Cl (0.617, 0.980, 0.317)

- total moment (μB per atom) = 0.231
- crystal system = trigonal
- E_form (uncorrected) (eV/atom) = -1.6673

(3)
Density functional theory data (GGA-PBE) for a relaxed Ta2NiPb crystal.

Unit cell a=3.043 b=3.043 c=7.897 alpha=90.00 beta=90.00 gamma=95.59
Fractional positions:
Ta (0.000, 0.000, 0.199)
Ta (0.000, 0.000, 0.801)
Ni (0.500, 0.500, 0.000)
Pb (0.500, 0.500, 0.500)

- total moment (μB per atom) = 0.000
- crystal system = orthorhombic
- energy relative to the elements (eV/f.u.) = 1.20

(4)
Density functional theory data (GGA-PBE) for a relaxed Ac12TlSi5 crystal.

Unit cell a=9.361 b=9.361 c=9.361 alpha=111.48 beta=110.41 gamma=106.57
Fractional positions:
Ac (0.033, 0.230, 0.802)
Ac (0.178, 0.271, 0.448)
Ac (0.178, 0.729, 0.907)
Ac (0.320, 0.023, 0.703)
Ac (0.320, 0.617, 0.297)
Ac (0.428, 0.230, 0.198)
Ac (0.572, 0.770, 0.802)
Ac (0.680, 0.383, 0.703)
Ac (0.680, 0.977, 0.297)
Ac (0.822, 0.271, 0.093)
Ac (0.822, 0.729, 0.552)
Ac (0.967, 0.770, 0.198)
Tl (0.500, 0.500, 0.000)
Si (0.000, 0.000, 0.000)
Si (0.108, 0.608, 0.500)
Si (0.382, 0.000, 0.382)
Si (0.618, 0.000, 0.618)
Si (0.892, 0.392, 0.500)

- total moment (μB per atom) = 0.000
- crystal system = orthorhombic
- E_form (uncorrected) (eV/atom) = -0.3733

(5)
Density functional theory data (GGA-PBE) for a relaxed Ca3NbI crystal.

Unit cell a=5.823 b=5.823 c=5.823 alpha=90.00 beta=90.00 gamma=90.00
Fractional positions:
Ca (0.000, 0.000, 0.500)
Ca (0.000, 0.500, 0.000)
Ca (0.500, 0.000, 0.000)
Nb (0.500, 0.500, 0.500)
I (0.000, 0.000, 0.000)

- total moment (μB per atom) = 0.805
- crystal system = cubic
- E_form (uncorrected) (eV/atom) = 0.6552

(6)
Density functional theory data (GGA-PBE) for a relaxed Sb4AuBr crystal.

Unit cell a=6.256 b=6.256 c=6.256 alpha=60.00 beta=60.00 gamma=60.00
Fractional positions:
Sb (0.382, 0.382, 0.382)
Sb (0.382, 0.382, 0.855)
Sb (0.382, 0.855, 0.382)
Sb (0.855, 0.382, 0.382)
Au (0.000, 0.000, 0.000)
Br (0.750, 0.750, 0.750)

- total moment (μB per atom) = 0.000
- crystal system = cubic
- E_form (uncorrected) (eV/atom) = 0.3690

(7)
Density functional theory data (GGA-PBE) for a relaxed CdTcIr2 crystal.

Unit cell a=5.819 b=5.819 c=5.819 alpha=102.55 beta=102.55 gamma=124.44
Fractional positions:
Cd (0.000, 0.000, 0.000)
Cd (0.750, 0.250, 0.500)
Tc (0.250, 0.750, 0.500)
Tc (0.500, 0.500, 0.000)
Ir (0.170, 0.625, 0.045)
Ir (0.375, 0.420, 0.545)
Ir (0.580, 0.125, 0.955)
Ir (0.875, 0.830, 0.455)

- total moment (μB per atom) = 0.000
- crystal system = tetragonal
- energy relative to the elements (eV/f.u.) = 2.63

(8)
Density functional theory data (GGA-PBE) for a relaxed PrSmCu crystal.

Unit cell a=6.812 b=6.812 c=7.223 alpha=105.60 beta=105.60 gamma=30.62
Fractional positions:
Pr (0.141, 0.141, 0.072)
Pr (0.859, 0.859, 0.928)
Sm (0.137, 0.137, 0.567)
Sm (0.863, 0.863, 0.433)
Cu (0.497, 0.497, 0.262)
Cu (0.503, 0.503, 0.738)

- total moment (μB per atom) = 0.000
- crystal system = monoclinic
- energy relative to the elements (eV/f.u.) = -0.22

(9)
Density functional theory data (GGA-PBE) for a relaxed Pm4Zr crystal.

Unit cell a=5.676 b=5.676 c=5.676 alpha=90.00 beta=90.00 gamma=90.00
Fractional positions:
Pm (0.000, 0.000, 0.000)
Pm (0.000, 0.500, 0.500)
Pm (0.500, 0.000, 0.500)
Pm (0.500, 0.500, 0.000)
Zr (0.500, 0.500, 0.500)

- total moment (μB per atom) = 0.000
- crystal system = cubic
- energy relative to the elements (eV/f.u.) = 2.55

(10)
Density functional theory data (GGA-PBE) for a relaxed InCuAsBr2 crystal.

Unit cell a=5.477 b=5.477 c=5.452 alpha=90.00 beta=90.00 gamma=90.00
Fractional positions:
In (0.000, 0.000, 0.000)
Cu (0.500, 0.500, 0.500)
As (0.000, 0.000, 0.500)
Br (0.000, 0.500, 0.000)
Br (0.500, 0.000, 0.000)

- total moment (μB per atom) = 0.267
- crystal system = tetragonal
- E_form (uncorrected) (eV/atom) = 0.4999

(11)
Density functional theory data (GGA-PBE) for a relaxed BaMgAl2Co crystal.

Unit cell a=4.710 b=4.710 c=4.984 alpha=90.00 beta=90.00 gamma=90.00
Fractional positions:
Ba (0.000, 0.000, 0.000)
Mg (0.500, 0.500, 0.000)
Al (0.000, 0.500, 0.500)
Al (0.500, 0.000, 0.500)
Co (0.500, 0.500, 0.500)

- total moment (μB per atom) = 0.000
- crystal system = tetragonal
- energy relative to the elements (eV/f.u.) = -1.07

(12)
Density functional theory data (GGA-PBE) for a relaxed Ag2TeRu crystal.

Unit cell a=3.003 b=3.003 c=9.883 alpha=90.00 beta=90.00 gamma=116.01
Fractional positions:
Ag (0.000, 0.000, 0.000)
Ag (0.500, 0.500, 0.238)
Te (0.500, 0.500, 0.681)
Ru (0.000, 0.000, 0.473)

- total moment (μB per atom) = 0.016
- crystal system = orthorhombic
- E_form (uncorrected) (eV/atom) = 0.4659